Crystalline SrAlNi2H8 at its relaxed geometry, computed with PBE.

Calculated values
E_tot: -3.738 eV per atom
ρ: 3.7 Mg/m³

Geometry as CIF:
```
data_SrAlNi2H8
_chemical_formula_sum 'Sr3 Al3 Ni6 H24'
_symmetry_space_group_name_H-M 'R -3'
_symmetry_Int_Tables_number 148
_symmetry_space_group_name_Hall '-R 3'
_cell_length_a 4.5661
_cell_length_b 4.5661
_cell_length_c 17.8594
_cell_angle_alpha 90.00
_cell_angle_beta 90.00
_cell_angle_gamma 120.00
loop_
_atom_site_label
_atom_site_type_symbol
_atom_site_fract_x
_atom_site_fract_y
_atom_site_fract_z
_atom_site_occupancy
Sr1 Sr 0.0000 0.0000 0.0000 1
Al1 Al 0.0000 0.0000 0.5000 1
Ni1 Ni 0.0000 0.0000 0.2181 1
H1 H 0.0000 0.0000 0.3028 1
H2 H 0.9999 0.3135 0.5596 1
```